VASP calculation (PBE) on an optimized crystal structure of Hf2MnRuN.

Summary:
- Calculated density: 12.1 g/cm3
- Symmetry: P4/mmm (123)
- Density of states at the Fermi level: 3.3 states/eV/f.u.
- Calculated total energy: -50.67 eV per formula unit

POSCAR file:
```
Hf2MnRuN
1.0
-2.6578 -0.2213 3.6227
1.8760 -3.9276 1.1364
2.4701 1.7348 1.9181
Ru Mn Hf N
1 1 2 1
direct
0.5000 0.5000 0.5000
0.0000 0.0000 0.5000
0.0000 0.5000 0.0000
0.5000 0.0000 0.0000
0.0000 0.0000 0.0000
```